[1]
Here is crystalline BaZr2TaCu at its relaxed geometry from Alexandria via LeMat-Bulk. Energies are from GGA-PBE.

* calculated volume: 129.4 Å³ per cell
* D(E_F): 7.5 states/eV/f.u.
* ΔE_f: 19.8 kcal/mol of atoms
* raw total energy: -30.7 eV/f.u.

Lattice parameters (Å, degrees): 5.132 4.911 5.132 90.00 90.00 90.00
Each line ends with the local moment (μB).
Fractional positions:
Cu 0.000 0.000 0.000  0.02
Ba 0.500 0.500 0.500  0.03
Zr 0.000 0.000 0.500  -0.02
Zr 0.500 0.000 0.000  -0.07
Ta 0.000 0.500 0.000  0.61

[2]
Here is crystalline KY2Cr at its relaxed geometry from Alexandria via LeMat-Bulk. Energies are from GGA-PBE.

* polymorph energy (0 for the lowest one): 177 meV per atom
* calculated volume: 142.7 Å³ per cell
* D(E_F): 2.8 states/eV/f.u.
* ΔE_f: 12.4 kcal/mol of atoms
* raw total energy: -21.5 eV/f.u.

Lattice parameters (Å, degrees): 3.882 3.882 9.470 90.00 90.00 90.00
Each line ends with the local moment (μB).
Fractional positions:
Cr 0.000 0.000 0.425  3.80
K 0.500 0.500 0.713  0.00
Y 0.000 0.000 0.069  -0.31
Y 0.500 0.500 0.294  -0.07

Q: The lowest raw total energy belongs to which entry?
A: BaZr2TaCu